(1)
# ZnInB, relaxed, DFT PBE-GGA
# Formation energy from the elements (eV per formula unit): 1.37
data_ZnInB
_chemical_formula_sum 'Zn2 In2 B2'
_space_group_name_H-M_alt 'P 1'
_space_group_IT_number 1
_cell_length_a 3.786
_cell_length_b 5.269
_cell_length_c 6.022
_cell_angle_alpha 68.35
_cell_angle_beta 73.23
_cell_angle_gamma 76.99
loop_
_space_group_symop_operation_xyz
'x,y,z'
loop_
_atom_site_label
_atom_site_fract_x
_atom_site_fract_y
_atom_site_fract_z
Zn1 0.000 0.000 0.000
Zn2 0.043 0.709 0.437
In1 0.364 0.494 0.868
In2 0.680 0.252 0.354
B1 0.058 0.279 0.614
B2 0.141 0.961 0.629

---

(2)
# Pm4Bi2TeN2, relaxed, DFT PBE-GGA
# Energy relative to the elements, uncorrected (meV/atom): -1140
data_Pm4Bi2TeN2
_chemical_formula_sum 'Pm8 Bi4 Te2 N4'
_space_group_name_H-M_alt 'C 1 2/m 1'
_space_group_IT_number 12
_cell_length_a 16.979
_cell_length_b 4.221
_cell_length_c 9.102
_cell_angle_alpha 90.00
_cell_angle_beta 121.58
_cell_angle_gamma 90.00
loop_
_space_group_symop_operation_xyz
'x,y,z'
'-x,-y,-z'
'-x,y,-z'
'x,-y,z'
'x+1/2,y+1/2,z'
'-x+1/2,-y+1/2,-z'
'-x+1/2,y+1/2,-z'
'x+1/2,-y+1/2,z'
loop_
_atom_site_label
_atom_site_fract_x
_atom_site_fract_y
_atom_site_fract_z
Pm1 0.030 0.000 0.273
Pm2 0.227 0.500 0.626
Bi1 0.103 0.500 0.056
Te1 0.000 0.500 0.500
N1 0.179 0.000 0.483

---

(3)
# Cs2KZn2F7, relaxed, DFT PBE-GGA
# Energy relative to the elements, uncorrected (meV/atom): -2570
data_Cs2KZn2F7
_chemical_formula_sum 'Cs4 K2 Zn4 F14'
_space_group_name_H-M_alt 'I 4/m m m'
_space_group_IT_number 139
_space_group_name_Hall '-I 4 2'
_cell_length_a 4.251
_cell_length_b 4.251
_cell_length_c 23.041
_cell_angle_alpha 90.00
_cell_angle_beta 90.00
_cell_angle_gamma 90.00
loop_
_atom_site_label
_atom_site_fract_x
_atom_site_fract_y
_atom_site_fract_z
Cs1 0.000 0.000 0.182
K1 0.000 0.000 0.000
Zn1 0.000 0.000 0.412
F1 0.000 0.000 0.323
F2 0.000 0.000 0.500
F3 0.000 0.500 0.086

---

(4)
# Sn2RuRh, relaxed, DFT PBE-GGA
# Formation energy from the elements (eV per formula unit): -0.76
data_Sn2RuRh
_chemical_formula_sum 'Sn2 Ru1 Rh1'
_space_group_name_H-M_alt 'P 4/m m m'
_space_group_IT_number 123
_space_group_name_Hall '-P 4 2'
_cell_length_a 4.462
_cell_length_b 4.462
_cell_length_c 3.459
_cell_angle_alpha 90.00
_cell_angle_beta 90.00
_cell_angle_gamma 90.00
loop_
_atom_site_label
_atom_site_fract_x
_atom_site_fract_y
_atom_site_fract_z
Sn1 0.000 0.500 0.000
Ru1 0.000 0.000 0.500
Rh1 0.500 0.500 0.500

---

(5)
# LaCo4P2, relaxed, DFT PBE-GGA
# Formation energy from the elements (eV per formula unit): -4.40
# Distance to the lowest polymorph of the same formula (eV per atom): 0.003
data_LaCo4P2
_chemical_formula_sum 'La2 Co8 P4'
_space_group_name_H-M_alt 'P 42/m n m'
_space_group_IT_number 136
_space_group_name_Hall '-P 4n 2n'
_cell_length_a 7.272
_cell_length_b 7.272
_cell_length_c 3.575
_cell_angle_alpha 90.00
_cell_angle_beta 90.00
_cell_angle_gamma 90.00
loop_
_atom_site_label
_atom_site_fract_x
_atom_site_fract_y
_atom_site_fract_z
La1 0.000 0.000 0.000
Co1 0.082 0.346 0.500
P1 0.225 0.775 0.500

---

(6)
# LuHfAl2, relaxed, DFT PBE-GGA
# Formation energy from the elements (eV per formula unit): -1.17
# Distance to the lowest polymorph of the same formula (eV per atom): 0.000
data_LuHfAl2
_chemical_formula_sum 'Lu1 Hf1 Al2'
_space_group_name_H-M_alt 'P 4/m m m'
_space_group_IT_number 123
_space_group_name_Hall '-P 4 2'
_cell_length_a 3.528
_cell_length_b 3.528
_cell_length_c 6.543
_cell_angle_alpha 90.00
_cell_angle_beta 90.00
_cell_angle_gamma 90.00
loop_
_atom_site_label
_atom_site_fract_x
_atom_site_fract_y
_atom_site_fract_z
Lu1 0.000 0.000 0.000
Hf1 0.000 0.000 0.500
Al1 0.500 0.500 0.274

---

(7)
# Fe2CuPPd, relaxed, DFT PBE-GGA
# Formation energy from the elements (eV per formula unit): 1.58
data_Fe2CuPPd
_chemical_formula_sum 'Fe2 Cu1 P1 Pd1'
_space_group_name_H-M_alt 'P 4/m m m'
_space_group_IT_number 123
_space_group_name_Hall '-P 4 2'
_cell_length_a 4.187
_cell_length_b 4.187
_cell_length_c 4.452
_cell_angle_alpha 90.00
_cell_angle_beta 90.00
_cell_angle_gamma 90.00
loop_
_atom_site_label
_atom_site_fract_x
_atom_site_fract_y
_atom_site_fract_z
Fe1 0.000 0.500 0.000
Cu1 0.000 0.000 0.500
P1 0.500 0.500 0.000
Pd1 0.500 0.500 0.500

---

(8)
# TcPb2Se, relaxed, DFT PBE-GGA
# Energy relative to the elements, uncorrected (meV/atom): 662
# Distance to the lowest polymorph of the same formula (eV per atom): 0.652
data_TcPb2Se
_chemical_formula_sum 'Tc4 Pb8 Se4'
_space_group_name_H-M_alt 'F -4 3 m'
_space_group_IT_number 216
_space_group_name_Hall 'F -4 2 3'
_cell_length_a 7.139
_cell_length_b 7.139
_cell_length_c 7.139
_cell_angle_alpha 90.00
_cell_angle_beta 90.00
_cell_angle_gamma 90.00
loop_
_atom_site_label
_atom_site_fract_x
_atom_site_fract_y
_atom_site_fract_z
Tc1 0.000 0.000 0.000
Pb1 0.000 0.000 0.500
Pb2 0.250 0.250 0.250
Se1 0.250 0.250 0.750

---

Total energy across the listed records, respectively: -18.63, -113.64, -98.58, -25.39, -97.14, -23.13, -30.05, -74.47 eV/cell.